An optimized crystal structure of KHg2Au. Source: Alexandria, functional PBEsol.

The calculation puts the uncorrected energy at -1.73 eV per atom.

a = 4.7785 Å, b = 4.7785 Å, c = 16.8821 Å
α = 90.00°, β = 90.00°, γ = 120.00°
Space group R-3m (No. 166, hexagonal axes)
Asymmetric unit:
1 K 0.0000 0.0000 0.0000
2 Hg 0.0000 0.0000 0.2109
3 Au 0.0000 0.0000 0.5000